Computed, not measured: Li2NiPt at its PBEsol-relaxed geometry at the meta-GGA SCAN level of DFT.

Calculated values
Magnetization (μB/f.u.): 0.00
D(E_F) (states/eV per cell): 4.293
Calculated formation energy (eV/f.u.): -1.06
Uncorrected energy (eV per atom): -23.053

Unit cell a=2.705 b=4.449 c=8.395 alpha=90.00 beta=90.00 gamma=90.00
Positions (direct):
Li (0.000, 0.000, 0.242)
Li (0.000, 0.000, 0.758)
Li (0.500, 0.500, 0.242)
Li (0.500, 0.500, 0.758)
Ni (0.000, 0.500, 0.000)
Ni (0.500, 0.000, 0.000)
Pt (0.000, 0.500, 0.500)
Pt (0.500, 0.000, 0.500)

=====

Computed, not measured: Li2NiPt at its PBEsol-relaxed geometry at the meta-GGA SCAN level of DFT.

Calculated values
Magnetization (μB/f.u.): 0.13
D(E_F) (states/eV per cell): 1.544
Calculated formation energy (eV/f.u.): -1.52
Uncorrected energy (eV per atom): -23.165

Unit cell a=2.607 b=4.220 c=4.486 alpha=90.00 beta=92.98 gamma=90.00
Positions (direct):
Li (0.218, 0.000, 0.250)
Li (0.782, 0.000, 0.750)
Ni (0.000, 0.500, 0.500)
Pt (0.500, 0.500, 0.000)

=====

Computed, not measured: LiNiPt2 at its PBEsol-relaxed geometry at the meta-GGA SCAN level of DFT.

Calculated values
Magnetization (μB/f.u.): 1.59
D(E_F) (states/eV per cell): 3.087
Calculated formation energy (eV/f.u.): -1.59
Uncorrected energy (eV per atom): -40.134

Unit cell a=3.821 b=3.821 c=7.029 alpha=90.00 beta=90.00 gamma=90.00
Positions (direct):
Li (0.000, 0.000, 0.000)
Li (0.500, 0.500, 0.500)
Ni (0.000, 0.000, 0.500)
Ni (0.500, 0.500, 0.000)
Pt (0.000, 0.500, 0.250)
Pt (0.000, 0.500, 0.750)
Pt (0.500, 0.000, 0.250)
Pt (0.500, 0.000, 0.750)

=====

Computed, not measured: Li2NiPt at its PBEsol-relaxed geometry at the meta-GGA SCAN level of DFT.

Calculated values
Magnetization (μB/f.u.): 0.00
D(E_F) (states/eV per cell): 1.612
Calculated formation energy (eV/f.u.): -1.59
Uncorrected energy (eV per atom): -23.183

Unit cell a=2.713 b=4.202 c=4.294 alpha=90.00 beta=90.00 gamma=90.00
Positions (direct):
Li (0.000, 0.000, 0.000)
Li (0.500, 0.000, 0.500)
Ni (0.000, 0.500, 0.500)
Pt (0.500, 0.500, 0.000)

=====

Computed, not measured: Li2NiPt at its PBEsol-relaxed geometry at the meta-GGA SCAN level of DFT.

Calculated values
Magnetization (μB/f.u.): 0.01
D(E_F) (states/eV per cell): 3.238
Calculated formation energy (eV/f.u.): -1.61
Uncorrected energy (eV per atom): -23.189

Unit cell a=2.711 b=4.295 c=8.368 alpha=90.00 beta=90.00 gamma=90.00
Positions (direct):
Li (0.000, 0.000, 0.241)
Li (0.000, 0.000, 0.759)
Li (0.500, 0.500, 0.259)
Li (0.500, 0.500, 0.741)
Ni (0.000, 0.500, 0.500)
Ni (0.500, 0.000, 0.000)
Pt (0.000, 0.500, 0.000)
Pt (0.500, 0.000, 0.500)

=====

Computed, not measured: Li2NiPt at its PBEsol-relaxed geometry at the meta-GGA SCAN level of DFT.

Calculated values
Magnetization (μB/f.u.): 0.13
D(E_F) (states/eV per cell): 3.165
Calculated formation energy (eV/f.u.): -1.50
Uncorrected energy (eV per atom): -23.162

Unit cell a=5.056 b=8.445 c=2.613 alpha=90.00 beta=117.71 gamma=90.00
Positions (direct):
Li (0.250, 0.250, 0.000)
Li (0.250, 0.750, 0.000)
Li (0.750, 0.250, 0.000)
Li (0.750, 0.750, 0.000)
Ni (0.000, 0.000, 0.500)
Ni (0.500, 0.500, 0.500)
Pt (0.000, 0.500, 0.500)
Pt (0.500, 0.000, 0.500)